# 1
# AcYCdAg, optimized geometry, DFT PBE-GGA
# - E_form (kcal/mol of atoms) = -5.8
# - DOS at the Fermi energy (states/eV per atom) = 0.65
# - distance to the lowest polymorph of the same formula (kJ/mol of atoms) = 3.5
data_AcYCdAg
_chemical_formula_sum 'Ac4 Y4 Cd4 Ag4'
_cell_length_a 7.7478
_cell_length_b 7.7478
_cell_length_c 7.7478
_cell_angle_alpha 90.00
_cell_angle_beta 90.00
_cell_angle_gamma 90.00
_space_group_name_H-M_alt 'F -4 3 m'
_space_group_IT_number 216
_space_group_name_Hall 'F -4 2 3'
loop_
_atom_site_label
_atom_site_type_symbol
_atom_site_fract_x
_atom_site_fract_y
_atom_site_fract_z
Ac1 Ac 0.0000 0.0000 0.0000
Y1 Y 0.0000 0.0000 0.5000
Cd1 Cd 0.2500 0.2500 0.2500
Ag1 Ag 0.2500 0.2500 0.7500

# 2
# Er3Sc12Ta5, optimized geometry, DFT PBE-GGA
# - E_form (kcal/mol of atoms) = 31.6
# - DOS at the Fermi energy (states/eV per atom) = 1.55
data_Er3Sc12Ta5
_chemical_formula_sum 'Er24 Sc96 Ta40'
_cell_length_a 16.9866
_cell_length_b 16.9866
_cell_length_c 16.9866
_cell_angle_alpha 90.00
_cell_angle_beta 90.00
_cell_angle_gamma 90.00
_space_group_name_H-M_alt 'I a -3 d'
_space_group_IT_number 230
_space_group_name_Hall '-I 4bd 2c 3'
loop_
_atom_site_label
_atom_site_type_symbol
_atom_site_fract_x
_atom_site_fract_y
_atom_site_fract_z
Er1 Er 0.0000 0.2500 0.1250
Sc1 Sc 0.0568 0.1278 0.9401
Ta1 Ta 0.0000 0.0000 0.0000
Ta2 Ta 0.0000 0.2500 0.3750

# 3
# ReGeP2, optimized geometry, DFT PBE-GGA
# - E_form (kcal/mol of atoms) = 3.9
# - DOS at the Fermi energy (states/eV per atom) = 0.83
data_ReGeP2
_chemical_formula_sum 'Re4 Ge4 P8'
_cell_length_a 5.4832
_cell_length_b 5.4832
_cell_length_c 10.7325
_cell_angle_alpha 90.00
_cell_angle_beta 90.00
_cell_angle_gamma 90.00
_space_group_name_H-M_alt 'I -4 2 d'
_space_group_IT_number 122
_space_group_name_Hall 'I -4 2bw'
loop_
_atom_site_label
_atom_site_type_symbol
_atom_site_fract_x
_atom_site_fract_y
_atom_site_fract_z
Re1 Re 0.0000 0.0000 0.0000
Ge1 Ge 0.0000 0.0000 0.5000
P1 P 0.2286 0.2500 0.1250

# 4
# ReNiMo2, optimized geometry, DFT PBE-GGA
# - E_form (kcal/mol of atoms) = 2.1
# - DOS at the Fermi energy (states/eV per atom) = 1.01
# - distance to the lowest polymorph of the same formula (kJ/mol of atoms) = 6.5
data_ReNiMo2
_chemical_formula_sum 'Re1 Ni1 Mo2'
_cell_length_a 2.6604
_cell_length_b 4.4069
_cell_length_c 5.0450
_cell_angle_alpha 90.00
_cell_angle_beta 97.87
_cell_angle_gamma 90.00
_space_group_name_H-M_alt 'P 1 m 1'
_space_group_IT_number 6
loop_
_space_group_symop_operation_xyz
'x,y,z'
'x,-y,z'
loop_
_atom_site_label
_atom_site_type_symbol
_atom_site_fract_x
_atom_site_fract_y
_atom_site_fract_z
Re1 Re 0.0000 0.0000 0.0000
Ni1 Ni 0.0537 0.5000 0.7257
Mo1 Mo 0.4623 0.0000 0.5115
Mo2 Mo 0.7033 0.5000 0.2212

- Among the records above, which one has the lowest E_form?
  AcYCdAg

- The lowest DOS at the Fermi energy belongs to which entry?
  AcYCdAg